# Pd2Rh2O

Pd2Rh2O after structural relaxation (PBE, the Alexandria database).

```
data_Pd2Rh2O
_chemical_formula_sum 'Pd4 Rh4 O2'
_space_group_name_H-M_alt 'I 4/m m m'
_space_group_IT_number 139
_space_group_name_Hall '-I 4 2'
_cell_length_a 3.462
_cell_length_b 3.462
_cell_length_c 13.413
_cell_angle_alpha 90.00
_cell_angle_beta 90.00
_cell_angle_gamma 90.00
loop_
_atom_site_label
_atom_site_fract_x
_atom_site_fract_y
_atom_site_fract_z
Pd1 0.000 0.000 0.097
Rh1 0.000 0.500 0.250
O1 0.000 0.000 0.500
```

Output
Its relative energy among the computed polymorphs is 341 meV/atom. The formation energy from raw total energies comes out at 0.7896 eV/atom. As for the crystal system: tetragonal. As for the mass density: 8.981 g cm⁻³.

---

# PdRhO3

PdRhO3 after structural relaxation (PBE, the Alexandria database).

```
data_PdRhO3
_chemical_formula_sum 'Pd4 Rh4 O12'
_space_group_name_H-M_alt 'C m m m'
_space_group_IT_number 65
_space_group_name_Hall '-C 2 2'
_cell_length_a 7.404
_cell_length_b 10.128
_cell_length_c 3.115
_cell_angle_alpha 90.00
_cell_angle_beta 90.00
_cell_angle_gamma 90.00
loop_
_atom_site_label
_atom_site_fract_x
_atom_site_fract_y
_atom_site_fract_z
Pd1 0.000 0.000 0.000
Pd2 0.000 0.500 0.000
Rh1 0.250 0.250 0.500
O1 0.000 0.143 0.500
O2 0.191 0.365 0.000
```

Output
The formation energy from raw total energies comes out at -0.5473 eV/atom. As for the crystal system: orthorhombic. As for the mass density: 7.318 g cm⁻³.

---

# Pd2Rh2O7

Pd2Rh2O7 after structural relaxation (PBE, the Alexandria database).

```
data_Pd2Rh2O7
_chemical_formula_sum 'Pd4 Rh4 O14'
_space_group_name_H-M_alt 'C 1 2/m 1'
_space_group_IT_number 12
_cell_length_a 5.517
_cell_length_b 9.393
_cell_length_c 6.260
_cell_angle_alpha 90.00
_cell_angle_beta 98.57
_cell_angle_gamma 90.00
loop_
_space_group_symop_operation_xyz
'x,y,z'
'-x,-y,-z'
'-x,y,-z'
'x,-y,z'
'x+1/2,y+1/2,z'
'-x+1/2,-y+1/2,-z'
'-x+1/2,y+1/2,-z'
'x+1/2,-y+1/2,z'
loop_
_atom_site_label
_atom_site_fract_x
_atom_site_fract_y
_atom_site_fract_z
Pd1 0.248 0.000 0.323
Rh1 0.000 0.323 0.000
O1 0.000 0.000 0.500
O2 0.077 0.500 0.196
O3 0.230 0.196 0.183
```

Output
The formation energy from raw total energies comes out at -0.2574 eV/atom. As for the crystal system: monoclinic. As for the mass density: 5.494 g cm⁻³.

---

# SbPdRhO6

SbPdRhO6 after structural relaxation (PBE, the Alexandria database).

```
data_SbPdRhO6
_chemical_formula_sum 'Sb2 Pd2 Rh2 O12'
_space_group_name_H-M_alt 'P -3 1 c'
_space_group_IT_number 163
_space_group_name_Hall '-P 3 2c'
_cell_length_a 5.1644
_cell_length_b 5.1644
_cell_length_c 8.7872
_cell_angle_alpha 90.00
_cell_angle_beta 90.00
_cell_angle_gamma 120.00
loop_
_atom_site_label
_atom_site_fract_x
_atom_site_fract_y
_atom_site_fract_z
Sb1 0.3333 0.6667 0.2500
Pd1 0.3333 0.6667 0.7500
Rh1 0.0000 0.0000 0.0000
O1 0.0040 0.3451 0.1234
```

Output
The formation energy from raw total energies comes out at -0.7603 eV/atom. As for the crystal system: trigonal. As for the mass density: 6.988 g cm⁻³.

---

# SrPdRhO6

SrPdRhO6 after structural relaxation (PBE, the Alexandria database).

```
data_SrPdRhO6
_chemical_formula_sum 'Sr1 Pd1 Rh1 O6'
_space_group_name_H-M_alt 'P 3 1 2'
_space_group_IT_number 149
_cell_length_a 5.2680
_cell_length_b 5.2680
_cell_length_c 5.3837
_cell_angle_alpha 90.00
_cell_angle_beta 90.00
_cell_angle_gamma 120.00
loop_
_space_group_symop_operation_xyz
'x,y,z'
'-y,x-y,z'
'-x+y,-x,z'
'-y,-x,-z'
'-x+y,y,-z'
'x,x-y,-z'
loop_
_atom_site_label
_atom_site_fract_x
_atom_site_fract_y
_atom_site_fract_z
Sr1 0.0000 0.0000 0.0000
Pd1 0.3333 0.6667 0.5000
Rh1 0.6667 0.3333 0.5000
O1 0.3763 0.0066 0.7026
```

Output
The formation energy from raw total energies comes out at -1.0031 eV/atom. As for the crystal system: trigonal. As for the mass density: 5.043 g cm⁻³.

---

# SrPd3Rh4O12

SrPd3Rh4O12 after structural relaxation (PBE, the Alexandria database).

```
data_SrPd3Rh4O12
_chemical_formula_sum 'Sr2 Pd6 Rh8 O24'
_space_group_name_H-M_alt 'I m -3'
_space_group_IT_number 204
_space_group_name_Hall '-I 2 2 3'
_cell_length_a 7.663
_cell_length_b 7.663
_cell_length_c 7.663
_cell_angle_alpha 90.00
_cell_angle_beta 90.00
_cell_angle_gamma 90.00
loop_
_atom_site_label
_atom_site_fract_x
_atom_site_fract_y
_atom_site_fract_z
Sr1 0.000 0.000 0.000
Pd1 0.000 0.000 0.500
Rh1 0.250 0.250 0.250
O1 0.000 0.305 0.176
```

Output
The formation energy from raw total energies comes out at -0.8357 eV/atom. As for the crystal system: cubic. As for the mass density: 7.458 g cm⁻³.

---

# Sr3Pd2RhO6

Sr3Pd2RhO6 after structural relaxation (PBE, the Alexandria database).

```
data_Sr3Pd2RhO6
_chemical_formula_sum 'Sr3 Pd2 Rh1 O6'
_space_group_name_H-M_alt 'P -3 m 1'
_space_group_IT_number 164
_space_group_name_Hall '-P 3 2"'
_cell_length_a 5.7165
_cell_length_b 5.7165
_cell_length_c 6.4654
_cell_angle_alpha 90.00
_cell_angle_beta 90.00
_cell_angle_gamma 120.00
loop_
_atom_site_label
_atom_site_fract_x
_atom_site_fract_y
_atom_site_fract_z
Sr1 0.0000 0.0000 0.0000
Sr2 0.3333 0.6667 0.6194
Pd1 0.3333 0.6667 0.1059
Rh1 0.0000 0.0000 0.5000
O1 0.1642 0.3285 0.3171
```

Output
The formation energy from raw total energies comes out at -1.3428 eV/atom. As for the crystal system: trigonal. As for the mass density: 6.122 g cm⁻³.

---

# UPdRhO6

UPdRhO6 after structural relaxation (PBE, the Alexandria database).

```
data_UPdRhO6
_chemical_formula_sum 'U2 Pd2 Rh2 O12'
_space_group_name_H-M_alt 'P -3 1 c'
_space_group_IT_number 163
_space_group_name_Hall '-P 3 2c'
_cell_length_a 5.2651
_cell_length_b 5.2651
_cell_length_c 9.1516
_cell_angle_alpha 90.00
_cell_angle_beta 90.00
_cell_angle_gamma 120.00
loop_
_atom_site_label
_atom_site_fract_x
_atom_site_fract_y
_atom_site_fract_z
U1 0.3333 0.6667 0.2500
Pd1 0.3333 0.6667 0.7500
Rh1 0.0000 0.0000 0.0000
O1 0.0086 0.3283 0.1229
```

Output
The formation energy from raw total energies comes out at -1.5705 eV/atom. As for the crystal system: trigonal. As for the mass density: 8.213 g cm⁻³.

---

# ZnPdRhO4

ZnPdRhO4 after structural relaxation (PBE, the Alexandria database).

```
data_ZnPdRhO4
_chemical_formula_sum 'Zn4 Pd4 Rh4 O16'
_space_group_name_H-M_alt 'I m m a'
_space_group_IT_number 74
_space_group_name_Hall '-I 2b 2'
_cell_length_a 6.018
_cell_length_b 6.148
_cell_length_c 9.010
_cell_angle_alpha 90.00
_cell_angle_beta 90.00
_cell_angle_gamma 90.00
loop_
_atom_site_label
_atom_site_fract_x
_atom_site_fract_y
_atom_site_fract_z
Zn1 0.000 0.250 0.137
Pd1 0.250 0.250 0.750
Rh1 0.000 0.000 0.500
O1 0.000 0.019 0.728
O2 0.230 0.250 0.493
```

Output
The formation energy from raw total energies comes out at -0.7340 eV/atom. As for the crystal system: orthorhombic. As for the mass density: 6.750 g cm⁻³.

---

# PdRuO2

PdRuO2 after structural relaxation (PBE, the Alexandria database).

```
data_PdRuO2
_chemical_formula_sum 'Pd4 Ru4 O8'
_space_group_name_H-M_alt 'I -4 2 d'
_space_group_IT_number 122
_space_group_name_Hall 'I -4 2bw'
_cell_length_a 4.069
_cell_length_b 4.069
_cell_length_c 12.166
_cell_angle_alpha 90.00
_cell_angle_beta 90.00
_cell_angle_gamma 90.00
loop_
_atom_site_label
_atom_site_fract_x
_atom_site_fract_y
_atom_site_fract_z
Pd1 0.000 0.000 0.000
Ru1 0.000 0.000 0.500
O1 0.199 0.250 0.625
```

Output
The formation energy from raw total energies comes out at -0.1313 eV/atom. As for the crystal system: tetragonal. As for the mass density: 7.896 g cm⁻³.

---

# Pd3RuO6

Pd3RuO6 after structural relaxation (PBE, the Alexandria database).

```
data_Pd3RuO6
_chemical_formula_sum 'Pd6 Ru2 O12'
_space_group_name_H-M_alt 'P 1 21/c 1'
_space_group_IT_number 14
_cell_length_a 5.117
_cell_length_b 5.027
_cell_length_c 10.410
_cell_angle_alpha 90.00
_cell_angle_beta 116.50
_cell_angle_gamma 90.00
loop_
_space_group_symop_operation_xyz
'x,y,z'
'-x,-y,-z'
'-x,y+1/2,-z+1/2'
'x,-y+1/2,z+1/2'
loop_
_atom_site_label
_atom_site_fract_x
_atom_site_fract_y
_atom_site_fract_z
Pd1 0.000 0.000 0.000
Pd2 0.198 0.104 0.702
Ru1 0.500 0.000 0.500
O1 0.169 0.083 0.318
O2 0.269 0.687 0.089
O3 0.404 0.195 0.093
```

Output
The formation energy from raw total energies comes out at -0.4100 eV/atom. As for the crystal system: monoclinic. As for the mass density: 7.155 g cm⁻³.

---

Question: Which of these has the lowest mass density?
Answer: SrPdRhO6

---

Question: The highest mass density belongs to which entry?
Answer: Pd2Rh2O